Record 1
A plane-wave DFT calculation with PBE-GGA was carried out for an optimized crystal structure of K14AgAu.

Values from the calculation:
The energy of formation from the pure elements comes out at -0.0002 eV per atom. The calculation puts the calculated total energy at -1.34 eV/atom.

```
K14AgAu
1.0
12.167 0.000 0.000
0.000 5.677 7.041
0.000 -5.677 7.041
K Ag Au
14 1 1
direct
0.000 0.000 0.000
0.000 0.446 0.446
0.000 0.516 0.932
0.000 0.932 0.516
0.263 0.212 0.212
0.305 0.834 0.834
0.318 0.308 0.686
0.318 0.686 0.308
0.500 0.006 0.456
0.500 0.456 0.006
0.682 0.308 0.686
0.682 0.686 0.308
0.695 0.834 0.834
0.737 0.212 0.212
0.500 0.038 0.038
0.500 0.381 0.381
```


Record 2
A plane-wave DFT calculation with PBE-GGA was carried out for an optimized crystal structure of KAg9Au3.

Values from the calculation:
The energy of formation from the pure elements comes out at -0.0292 eV per atom. The calculation puts the calculated total energy at -2.84 eV/atom.

```
KAg9Au3
1.0
2.760 -6.889 0.000
2.760 6.889 0.000
-2.692 0.000 6.913
K Ag Au
1 9 3
direct
0.000 0.000 0.000
0.002 0.647 0.644
0.274 0.500 0.773
0.353 0.998 0.356
0.500 0.274 0.773
0.500 0.500 0.500
0.500 0.726 0.227
0.647 0.002 0.644
0.726 0.500 0.227
0.998 0.353 0.356
0.000 0.000 0.500
0.000 0.500 0.000
0.500 0.000 0.000
```


Record 3
A plane-wave DFT calculation with PBE-GGA was carried out for an optimized crystal structure of KLiAg2Au.

Values from the calculation:
The energy of formation from the pure elements comes out at -0.0027 eV per atom. The calculation puts the calculated total energy at -2.40 eV/atom.

```
KLiAg2Au
1.0
5.356 0.000 0.000
0.000 5.356 0.000
0.000 0.000 4.849
K Li Ag Au
1 1 2 1
direct
0.000 0.000 0.000
0.500 0.500 0.000
0.000 0.500 0.500
0.500 0.000 0.500
0.500 0.500 0.500
```


Record 4
A plane-wave DFT calculation with PBE-GGA was carried out for an optimized crystal structure of KLi2AgAu.

Values from the calculation:
The energy of formation from the pure elements comes out at -0.1081 eV per atom. The calculation puts the calculated total energy at -2.32 eV/atom.

```
KLi2AgAu
1.0
5.000 0.000 0.000
0.000 5.000 0.000
0.000 0.000 5.421
K Li Ag Au
1 2 1 1
direct
0.000 0.000 0.000
0.000 0.500 0.500
0.500 0.000 0.500
0.500 0.500 0.000
0.500 0.500 0.500
```


Record 5
A plane-wave DFT calculation with PBE-GGA was carried out for an optimized crystal structure of K8Ag2AuO.

Values from the calculation:
The value obtained for the energy relative to the elements, uncorrected is -0.28 eV/atom. The calculation puts the calculated total energy at -2.18 eV/atom.

```
K8Ag2AuO
1.0
7.617 0.000 0.000
-0.490 7.900 0.000
-0.027 -0.020 8.950
K Ag Au O
8 2 1 1
direct
0.179 0.229 0.499
0.218 0.641 0.706
0.218 0.643 0.295
0.278 0.156 0.000
0.722 0.844 0.000
0.782 0.357 0.705
0.782 0.359 0.294
0.821 0.771 0.501
0.499 0.999 0.659
0.501 0.001 0.341
0.000 0.500 0.000
0.000 0.500 0.500
```


Record 6
A plane-wave DFT calculation with PBE-GGA was carried out for an optimized crystal structure of K6AgAu2O.

Values from the calculation:
The value obtained for the energy relative to the elements, uncorrected is -0.42 eV/atom. The calculation puts the calculated total energy at -2.51 eV/atom.

```
K6AgAu2O
1.0
7.838 0.000 0.000
0.000 8.532 0.000
-6.791 0.000 11.098
K Ag Au O
12 2 4 2
direct
0.086 0.054 0.219
0.086 0.446 0.719
0.214 0.731 0.071
0.214 0.769 0.571
0.328 0.155 0.050
0.328 0.345 0.550
0.672 0.655 0.450
0.672 0.845 0.950
0.786 0.231 0.429
0.786 0.269 0.929
0.914 0.554 0.281
0.914 0.946 0.781
0.500 0.000 0.500
0.500 0.500 0.000
0.302 0.090 0.760
0.302 0.410 0.260
0.698 0.590 0.740
0.698 0.910 0.240
0.000 0.000 0.000
0.000 0.500 0.500
```


Record 7
A plane-wave DFT calculation with PBE-GGA was carried out for an optimized crystal structure of K5AgAuO2.

Values from the calculation:
The value obtained for the energy relative to the elements, uncorrected is -0.72 eV/atom. The calculation puts the calculated total energy at -3.11 eV/atom.

```
K5AgAuO2
1.0
5.431 0.000 0.000
0.000 5.431 0.000
0.000 0.000 9.417
K Ag Au O
5 1 1 2
direct
0.000 0.000 0.000
0.000 0.500 0.271
0.000 0.500 0.729
0.500 0.000 0.271
0.500 0.000 0.729
0.000 0.000 0.500
0.500 0.500 0.000
0.000 0.000 0.280
0.000 0.000 0.720
```


Record 8
A plane-wave DFT calculation with PBE-GGA was carried out for an optimized crystal structure of K6Ag2AuO.

Values from the calculation:
The value obtained for the energy relative to the elements, uncorrected is -0.34 eV/atom. The calculation puts the calculated total energy at -2.39 eV/atom.

```
K6Ag2AuO
1.0
7.927 0.000 0.000
0.000 8.450 0.000
-7.540 0.000 11.478
K Ag Au O
12 4 2 2
direct
0.132 0.026 0.222
0.132 0.474 0.722
0.210 0.731 0.046
0.210 0.769 0.546
0.315 0.169 0.041
0.315 0.331 0.541
0.685 0.669 0.459
0.685 0.831 0.959
0.790 0.231 0.454
0.790 0.269 0.954
0.868 0.526 0.278
0.868 0.974 0.778
0.281 0.069 0.751
0.281 0.431 0.251
0.719 0.569 0.749
0.719 0.931 0.249
0.500 0.000 0.500
0.500 0.500 0.000
0.000 0.000 0.000
0.000 0.500 0.500
```


Record 9
A plane-wave DFT calculation with PBE-GGA was carried out for an optimized crystal structure of K2AgAuO4.

Values from the calculation:
The value obtained for the energy relative to the elements, uncorrected is -0.32 eV/atom. The calculation puts the calculated total energy at -3.84 eV/atom.

```
K2AgAuO4
1.0
6.621 0.000 0.000
0.000 6.621 0.000
0.000 0.000 6.790
K Ag Au O
4 2 2 8
direct
0.000 0.500 0.000
0.000 0.500 0.500
0.500 0.000 0.000
0.500 0.000 0.500
0.000 0.000 0.000
0.500 0.500 0.500
0.000 0.000 0.500
0.500 0.500 0.000
0.138 0.138 0.279
0.138 0.862 0.721
0.362 0.362 0.779
0.362 0.638 0.221
0.638 0.362 0.221
0.638 0.638 0.779
0.862 0.138 0.721
0.862 0.862 0.279
```


Record 10
A plane-wave DFT calculation with PBE-GGA was carried out for an optimized crystal structure of K2AgAuO.

Values from the calculation:
The value obtained for the energy relative to the elements, uncorrected is -0.55 eV/atom. The calculation puts the calculated total energy at -3.21 eV/atom.

```
K2AgAuO
1.0
5.570 0.000 0.000
0.000 5.570 0.000
0.000 0.000 4.165
K Ag Au O
2 1 1 1
direct
0.000 0.500 0.000
0.500 0.000 0.000
0.000 0.000 0.500
0.500 0.500 0.500
0.000 0.000 0.000
```


Record 11
A plane-wave DFT calculation with PBE-GGA was carried out for an optimized crystal structure of K8AgAu2O.

Values from the calculation:
The value obtained for the energy relative to the elements, uncorrected is -0.34 eV/atom. The calculation puts the calculated total energy at -2.27 eV/atom.

```
K8AgAu2O
1.0
7.252 0.000 0.000
-0.609 7.821 0.000
-1.619 -0.261 8.642
K Ag Au O
8 1 2 1
direct
0.151 0.229 0.414
0.213 0.697 0.341
0.273 0.108 0.977
0.277 0.570 0.736
0.723 0.430 0.264
0.727 0.892 0.023
0.787 0.303 0.659
0.849 0.771 0.586
0.000 0.500 0.000
0.446 0.971 0.650
0.554 0.029 0.350
0.000 0.500 0.500
```


Record 12
A plane-wave DFT calculation with PBE-GGA was carried out for an optimized crystal structure of KAgPb3Au.

Values from the calculation:
The energy of formation from the pure elements comes out at 0.0986 eV per atom. The calculation puts the calculated total energy at -2.96 eV/atom.

```
KAgPb3Au
1.0
3.710 -7.966 0.000
3.710 7.966 0.000
0.000 0.000 7.392
K Ag Pb Au
2 2 6 2
direct
0.199 0.801 0.750
0.801 0.199 0.250
0.410 0.590 0.250
0.590 0.410 0.750
0.239 0.761 0.250
0.259 0.259 0.000
0.259 0.259 0.500
0.741 0.741 0.000
0.741 0.741 0.500
0.761 0.239 0.750
0.070 0.930 0.250
0.930 0.070 0.750
```